6
Lattice="3.7935 -2.2131 0.0000 3.7935 2.2131 0.0000 -2.6030 0.0000 7.9009" Properties=species:S:1:pos:R:3 comment="NdInH, optimized geometry, DFT GGA-PBE" relative_energy_mev_per_atom=0.0 final_energy_ev_per_atom=-3.983 spacegroup="No. 12" magnetic_moment_mub_per_atom=0.00 pbc="T T T"
Nd -0.0242 0.0000 2.4892
Nd 5.0082 0.0000 5.4116
In 2.5204 0.0000 0.5221
In 2.4636 0.0000 7.3788
H -0.0493 0.0000 4.8124
H 5.0333 0.0000 3.0884